The following is a DFT calculation (GGA+U) of a relaxed structure of TcRhWO2.

a = 3.7281 Å, b = 3.7281 Å, c = 5.9781 Å
α = 90.00°, β = 90.00°, γ = 90.00°
Closest atoms and distances in Å follow each position.
Space group P4/mmm (No. 123)
Asymmetric unit:
Tc (0.0000, 0.0000, 0.0000) (multiplicity 1)  4 O 1.86
Rh (0.5000, 0.5000, 0.5000) (multiplicity 1)  4 W 2.64
W (0.0000, 0.0000, 0.5000) (multiplicity 1)  4 Rh 2.64
O (0.0000, 0.5000, 0.0000) (multiplicity 2)  2 Tc 1.86

**Total energy**: -6.874 eV/atom
**Magnetization**: 0.404 μB/atom